# DyY2Er2Tm2Ni2Te2

A relaxed DyY2Er2Tm2Ni2Te2 crystal (GGA-PBE, OQMD).

Computed properties:
Total energy (eV/atom): -5.494
Energy relative to the lowest polymorph listed for this composition (meV per atom): 14.2
Magnetic moment (Bohr magnetons per cell): 0.01

POSCAR file:
```
DyY2Er2Tm2Ni2Te2
1.0
-1.916 7.763 4.774
1.916 -7.763 4.774
1.916 7.763 -4.774
Dy Er Ni Te Tm Y
1 2 2 2 2 2
Direct
0.476 0.476 0.000
0.028 0.895 0.133
0.763 0.895 0.867
0.641 0.402 0.238
0.164 0.402 0.762
0.141 0.141 0.000
0.743 0.243 0.500
0.100 0.747 0.353
0.394 0.747 0.647
0.414 0.098 0.315
0.783 0.098 0.685
```

***

# PmPaPO

A relaxed PmPaPO crystal (GGA-PBE, OQMD).

Computed properties:
Total energy (eV/atom): -7.444
Energy relative to the lowest polymorph listed for this composition (meV per atom): 57.6
Magnetic moment (Bohr magnetons per cell): 2.02

POSCAR file:
```
PmPaPO
1.0
2.954 -2.954 0.000
2.954 2.954 0.000
0.000 0.000 9.222
O P Pa Pm
2 2 2 2
Direct
0.750 0.250 0.000
0.250 0.750 0.000
0.750 0.750 0.275
0.250 0.250 0.725
0.250 0.250 0.133
0.750 0.750 0.867
0.750 0.250 0.500
0.250 0.750 0.500
```

***

# LiUTe

A relaxed LiUTe crystal (GGA-PBE, OQMD).

Computed properties:
Total energy (eV/atom): -5.341
Energy relative to the lowest polymorph listed for this composition (meV per atom): 0.0
Magnetic moment (Bohr magnetons per cell): 3.88

POSCAR file:
```
LiUTe
1.0
-2.429 -3.556 -2.386
-4.817 0.482 -0.894
-1.586 0.761 -4.598
Li Te U
1 1 1
Direct
0.250 0.250 0.250
0.000 0.000 0.000
0.750 0.750 0.750
```

***

# Sm3Er3Te2Pd

A relaxed Sm3Er3Te2Pd crystal (GGA-PBE, OQMD).

Computed properties:
Total energy (eV/atom): -5.117
Energy relative to the lowest polymorph listed for this composition (meV per atom): 98.0
Magnetic moment (Bohr magnetons per cell): 0.02

POSCAR file:
```
Sm3Er3Te2Pd
1.0
-1.557 7.856 3.029
-2.468 -2.099 -7.926
-3.451 -1.223 1.398
Er Pd Sm Te
3 1 3 2
Direct
0.596 0.000 0.000
0.404 0.404 0.000
0.000 0.596 0.000
0.000 0.000 0.000
0.251 0.000 0.500
0.000 0.251 0.500
0.749 0.749 0.500
0.667 0.333 0.500
0.333 0.667 0.500
```

***

# LaTaSn2Pt2

A relaxed LaTaSn2Pt2 crystal (GGA-PBE, OQMD).

Computed properties:
Total energy (eV/atom): -6.907
Magnetic moment (Bohr magnetons per cell): 0.00

POSCAR file:
```
LaTaSn2Pt2
1.0
6.612 0.000 0.000
0.000 4.574 0.000
0.000 0.000 9.343
La Pt Sn Ta
2 4 4 2
Direct
0.000 0.000 0.380
0.500 0.500 0.620
0.265 0.000 0.104
0.724 0.500 0.339
0.224 0.000 0.661
0.765 0.500 0.896
0.019 0.500 0.120
0.492 0.000 0.358
0.992 0.500 0.642
0.519 0.000 0.880
0.500 0.500 0.117
0.000 0.000 0.883
```

***

# ErFeW

A relaxed ErFeW crystal (GGA-PBE, OQMD).

Computed properties:
Total energy (eV/atom): -8.027
Energy relative to the lowest polymorph listed for this composition (meV per atom): 0.0
Formation energy from the elements (meV per atom): 583.3
Magnetic moment (Bohr magnetons per cell): 0.00

POSCAR file:
```
ErFeW
1.0
1.848 -2.381 3.088
-2.450 -2.050 2.901
-0.327 -4.302 -0.106
Er Fe W
1 1 1
Direct
0.250 0.250 0.250
0.000 0.000 0.000
0.750 0.750 0.750
```

***

# PrYAl2Ni4

A relaxed PrYAl2Ni4 crystal (GGA-PBE, OQMD).

Computed properties:
Total energy (eV/atom): -5.670
Magnetic moment (Bohr magnetons per cell): 0.00

POSCAR file:
```
PrYAl2Ni4
1.0
4.162 0.000 0.000
-2.081 3.604 0.000
0.000 0.000 9.278
Al Ni Pr Y
2 4 1 1
Direct
0.667 0.333 0.260
0.667 0.333 0.740
0.333 0.667 0.202
0.000 0.000 0.315
0.000 0.000 0.685
0.333 0.667 0.798
0.000 0.000 0.000
0.333 0.667 0.500
```

***

# Tm3Cu2Si4

A relaxed Tm3Cu2Si4 crystal (GGA-PBE, OQMD).

Computed properties:
Total energy (eV/atom): -5.426
Magnetic moment (Bohr magnetons per cell): 0.02

POSCAR file:
```
Tm3Cu2Si4
1.0
5.222 -2.016 0.000
5.222 2.016 0.000
-1.664 0.000 7.760
Cu Si Tm
2 4 3
Direct
0.388 0.388 0.217
0.612 0.612 0.783
0.940 0.940 0.112
0.282 0.282 0.441
0.718 0.718 0.559
0.060 0.060 0.888
0.662 0.662 0.168
0.000 0.000 0.500
0.338 0.338 0.832
```